(1)
Material: Na3Y2PbO6
Method: DFT, PBE
State: relaxed

Properties
The calculated total energy is -6.4110 eV/atom.

Cell lengths 5.9873, 5.9873, 5.9910 Å; angles 99.66, 99.66, 119.94 degrees
Closest atoms and distances in Å follow each position.
Positions (direct):
Na1 0.0000 0.0000 0.0000  6 O 2.48-2.58
Na2 0.3363 0.6637 0.0000  6 O 2.50-2.59
Na3 0.6637 0.3363 0.0000  6 O 2.50-2.59
Y1 0.1668 0.8332 0.5000  6 O 2.31-2.32
Y2 0.8332 0.1668 0.5000  6 O 2.31-2.32
Pb1 0.5000 0.5000 0.5000  6 O 2.42-2.43
O1 0.0792 0.4266 0.2814  2 Y 2.31, 1 Pb 2.42, 2 Na 2.50-2.58
O2 0.2256 0.2256 0.7206  2 Y 2.32, 1 Pb 2.43, 3 Na 2.48-2.56
O3 0.4266 0.0792 0.2814  2 Y 2.31, 1 Pb 2.42, 2 Na 2.50-2.58
O4 0.5734 0.9208 0.7186  2 Y 2.31, 1 Pb 2.42, 2 Na 2.50-2.58
O5 0.7744 0.7744 0.2794  2 Y 2.32, 1 Pb 2.43, 3 Na 2.48-2.56
O6 0.9208 0.5734 0.7186  2 Y 2.31, 1 Pb 2.42, 2 Na 2.50-2.58

(2)
Material: Tb4Dy6Ho19
Method: DFT, PBE
State: relaxed

Properties
The energy relative to the elements comes out at 0.389 eV per atom.

Cell lengths 10.6988, 10.6988, 10.6988 Å; angles 109.47, 109.47, 109.47 degrees
Closest atoms and distances in Å follow each position.
Positions (direct):
Tb1 0.0000 0.0000 0.6415  9 Ho 3.29-3.39
Tb2 0.0000 0.6415 0.0000  9 Ho 3.29-3.39
Tb3 0.3585 0.3585 0.3585  9 Ho 3.29-3.39
Tb4 0.6415 0.0000 0.0000  9 Ho 3.29-3.39
Dy1 0.1266 0.6266 0.5000  1 Dy 3.13, 4 Ho 3.17-3.35
Dy2 0.3734 0.5000 0.8734  1 Dy 3.13, 4 Ho 3.17-3.35
Dy3 0.5000 0.1266 0.6266  1 Dy 3.13, 4 Ho 3.17-3.35
Dy4 0.5000 0.8734 0.3734  1 Dy 3.13, 4 Ho 3.17-3.35
Dy5 0.6266 0.5000 0.1266  1 Dy 3.13, 4 Ho 3.17-3.35
Dy6 0.8734 0.3734 0.5000  1 Dy 3.13, 4 Ho 3.17-3.35
Ho1 0.0000 0.0000 0.0000  6 Ho 3.22
Ho2 0.0000 0.2603 0.2603  5 Ho 3.22-3.52, 2 Tb 3.29, 2 Dy 3.35
Ho3 0.0000 0.7397 0.7397  5 Ho 3.22-3.52, 2 Tb 3.29, 2 Dy 3.35
Ho4 0.0161 0.8009 0.3407  1 Dy 3.17, 2 Tb 3.31-3.39, 2 Ho 3.33-3.52
Ho5 0.1991 0.2152 0.5397  1 Dy 3.17, 2 Tb 3.31-3.39, 2 Ho 3.33-3.52
Ho6 0.2152 0.5397 0.1991  1 Dy 3.17, 2 Tb 3.31-3.39, 2 Ho 3.33-3.52
Ho7 0.2603 0.0000 0.2603  5 Ho 3.22-3.52, 2 Tb 3.29, 2 Dy 3.35
Ho8 0.2603 0.2603 0.0000  5 Ho 3.22-3.52, 2 Tb 3.29, 2 Dy 3.35
Ho9 0.3246 0.7848 0.9839  1 Dy 3.17, 2 Tb 3.31-3.39, 2 Ho 3.33-3.52
Ho10 0.3407 0.0161 0.8009  1 Dy 3.17, 2 Tb 3.31-3.39, 2 Ho 3.33-3.52
Ho11 0.4603 0.6754 0.6593  1 Dy 3.17, 2 Tb 3.31-3.39, 2 Ho 3.33-3.52
Ho12 0.5397 0.1991 0.2152  1 Dy 3.17, 2 Tb 3.31-3.39, 2 Ho 3.33-3.52
Ho13 0.6593 0.4603 0.6754  1 Dy 3.17, 2 Tb 3.31-3.39, 2 Ho 3.33-3.52
Ho14 0.6754 0.6593 0.4603  1 Dy 3.17, 2 Tb 3.31-3.39, 2 Ho 3.33-3.52
Ho15 0.7397 0.0000 0.7397  5 Ho 3.22-3.52, 2 Tb 3.29, 2 Dy 3.35
Ho16 0.7397 0.7397 0.0000  5 Ho 3.22-3.52, 2 Tb 3.29, 2 Dy 3.35
Ho17 0.7848 0.9839 0.3246  1 Dy 3.17, 2 Tb 3.31-3.39, 2 Ho 3.33-3.52
Ho18 0.8009 0.3407 0.0161  1 Dy 3.17, 2 Tb 3.31-3.39, 2 Ho 3.33-3.52
Ho19 0.9839 0.3246 0.7848  1 Dy 3.17, 2 Tb 3.31-3.39, 2 Ho 3.33-3.52

(3)
Material: MgSn2Au2
Method: DFT, PBE
State: relaxed

Properties
The excess energy over the best structure of this formula in the dataset comes out at 164.4 meV/atom. The energy relative to the elements comes out at -0.042 eV per atom.

Cell lengths 7.8948, 7.8948, 3.7315 Å; angles 90.00, 90.00, 90.00 degrees
Closest atoms and distances in Å follow each position.
Positions (direct):
Mg1 0.0000 0.0000 0.0000  4 Sn 2.99
Mg2 0.5000 0.5000 0.0000  4 Sn 2.99
Sn1 0.1541 0.3459 0.0000  6 Au 2.91-3.02, 2 Mg 2.99
Sn2 0.3459 0.8459 0.0000  6 Au 2.91-3.02, 2 Mg 2.99
Sn3 0.6541 0.1541 0.0000  6 Au 2.91-3.02, 2 Mg 2.99
Sn4 0.8459 0.6541 0.0000  6 Au 2.91-3.02, 2 Mg 2.99
Au1 0.1464 0.6464 0.5000  6 Sn 2.91-3.02
Au2 0.3536 0.1464 0.5000  6 Sn 2.91-3.02
Au3 0.6464 0.8536 0.5000  6 Sn 2.91-3.02
Au4 0.8536 0.3536 0.5000  6 Sn 2.91-3.02

(4)
Material: BaRuO3
Method: DFT, PBE
State: relaxed

Properties
The calculated total energy is -6.9111 eV/atom.

Cell lengths 4.0605, 4.0605, 4.0605 Å; angles 90.00, 90.00, 90.00 degrees
Closest atoms and distances in Å follow each position.
Positions (direct):
Ba1 0.0000 0.0000 0.0000  12 O 2.87
Ru1 0.5000 0.5000 0.5000  6 O 2.03
O1 0.0000 0.5000 0.5000  2 Ru 2.03
O2 0.5000 0.0000 0.5000  2 Ru 2.03
O3 0.5000 0.5000 0.0000  2 Ru 2.03

(5)
Material: Rb2FeRe2
Method: DFT, PBE
State: relaxed

Properties
The excess energy over the best structure of this formula in the dataset comes out at 491.3 meV/atom. The energy relative to the elements comes out at 1.879 eV per atom.

Cell lengths 10.6161, 10.6161, 2.7686 Å; angles 90.00, 90.00, 90.00 degrees
Closest atoms and distances in Å follow each position.
Positions (direct):
Rb1 0.2098 0.2902 0.0000  2 Rb 2.77
Rb2 0.2902 0.7902 0.0000  2 Rb 2.77
Rb3 0.7098 0.2098 0.0000  2 Rb 2.77
Rb4 0.7902 0.7098 0.0000  2 Rb 2.77
Fe1 0.0000 0.0000 0.0000  2 Fe 2.77
Fe2 0.5000 0.5000 0.0000  2 Fe 2.77
Re1 0.0735 0.5735 0.5000  1 Re 2.21
Re2 0.4265 0.0735 0.5000  1 Re 2.21
Re3 0.5735 0.9265 0.5000  1 Re 2.21
Re4 0.9265 0.4265 0.5000  1 Re 2.21

(6)
Material: La4InAg
Method: DFT, PBE
State: relaxed

Properties
The excess energy over the best structure of this formula in the dataset comes out at 434.8 meV/atom. The energy relative to the elements comes out at 0.208 eV per atom.

Cell lengths 6.4902, 6.4902, 6.4902 Å; angles 60.00, 60.00, 60.00 degrees
Closest atoms and distances in Å follow each position.
Positions (direct):
La1 0.3765 0.3765 0.3765  6 La 3.21-3.28
La2 0.3765 0.3765 0.8705  6 La 3.21-3.28
La3 0.3765 0.8705 0.3765  6 La 3.21-3.28
La4 0.8705 0.3765 0.3765  6 La 3.21-3.28
In1 0.7500 0.7500 0.7500  12 La 3.80, 4 Ag 3.97
Ag1 0.0000 0.0000 0.0000  12 La 3.81, 4 In 3.97

(7)
Material: Sr6Bi3H2
Method: DFT, PBE
State: relaxed

Properties
The calculated total energy is -3.3350 eV/atom.

Cell lengths 13.9021, 13.9021, 13.9021 Å; angles 158.54, 158.54, 30.54 degrees
Closest atoms and distances in Å follow each position.
Positions (direct):
Sr1 0.0821 0.5821 0.5000  2 H 2.63
Sr2 0.1998 0.1998 0.0000  1 H 2.68
Sr3 0.4179 0.9179 0.5000  2 H 2.63
Sr4 0.5821 0.0821 0.5000  2 H 2.63
Sr5 0.8002 0.8002 0.0000  1 H 2.68
Sr6 0.9179 0.4179 0.5000  2 H 2.63
Bi1 0.3268 0.3268 0.0000  9 Sr 3.41-3.73
Bi2 0.5000 0.5000 0.0000  8 Sr 3.40
Bi3 0.6732 0.6732 0.0000  9 Sr 3.41-3.73
H1 0.0998 0.0998 0.0000  5 Sr 2.63-2.68
H2 0.9002 0.9002 0.0000  5 Sr 2.63-2.68

(8)
Material: UP2Ru4
Method: DFT, PBE
State: relaxed

Properties
The excess energy over the best structure of this formula in the dataset comes out at 0.0 meV/atom. The energy relative to the elements comes out at -0.479 eV per atom.

Cell lengths 6.8348, 6.8348, 4.0251 Å; angles 90.00, 90.00, 145.56 degrees
Closest atoms and distances in Å follow each position.
Positions (direct):
U1 0.0000 0.0000 0.0000  8 Ru 3.05-3.06, 8 P 3.07
P1 0.4123 0.5877 0.5000  1 P 2.29, 4 Ru 2.32
P2 0.5877 0.4123 0.5000  1 P 2.29, 4 Ru 2.32
Ru1 0.1753 0.8247 0.5000  2 P 2.32
Ru2 0.3245 0.6755 0.0000  2 P 2.32
Ru3 0.6755 0.3245 0.0000  2 P 2.32
Ru4 0.8247 0.1753 0.5000  2 P 2.32